Tl2InSe3: optimized geometry, PBE.

Lattice parameters (Å, degrees): 8.126 7.545 7.545 51.69 74.40 74.40
Sites, in units of the cell vectors:
Se: 0.430 0.141 0.140
Se: 0.070 0.860 0.859
Tl: 0.086 0.323 0.333
Tl: 0.414 0.667 0.677
In: 0.250 0.074 0.926
Tl: 0.586 0.333 0.323
Se: 0.570 0.859 0.860
In: 0.750 0.926 0.074
Se: 0.250 0.483 0.517
Se: 0.930 0.140 0.141
Tl: 0.914 0.677 0.667
Se: 0.750 0.517 0.483

Symmetry: C2/c (15)
V: 346 Å³/cell
Total energy: -3.383 eV/atom
Formation energy (no corrections): -0.3953 eV per atom

Dy5Y12Ho2: optimized geometry, PBE.

Lattice parameters (Å, degrees): 9.313 9.042 8.610 91.58 90.00 121.00
Sites, in units of the cell vectors:
Y: 0.558 0.115 0.334
Y: 0.442 0.885 0.666
Dy: 0.704 0.408 0.020
Y: 0.030 0.700 0.762
Y: 0.437 0.258 0.667
Y: 0.076 0.153 0.873
Y: 0.329 0.300 0.238
Y: 0.821 0.258 0.667
Ho: 0.328 0.000 0.000
Dy: 0.000 0.000 0.500
Y: 0.924 0.847 0.127
Y: 0.563 0.742 0.333
Y: 0.179 0.742 0.333
Dy: 0.230 0.460 0.572
Y: 0.671 0.700 0.762
Dy: 0.296 0.592 0.980
Y: 0.970 0.300 0.238
Ho: 0.672 0.000 0.000
Dy: 0.770 0.540 0.428

Symmetry: C2/m (12)
DFT formation energy: 0.12 eV per atom
V: 621 Å³/cell
Total energy: -5.651 eV/atom

Mg6FeNi: optimized geometry, PBE.

Lattice parameters (Å, degrees): 6.103 6.103 4.707 90.00 90.00 122.21
Each line ends with the local moment (μB).
Sites, in units of the cell vectors:
Mg: 0.169 0.831 0.500  -0.01
Mg: 0.675 0.847 0.500  -0.01
Mg: 0.350 0.174 0.000  -0.01
Fe: 0.688 0.312 0.500  2.77
Ni: 0.809 0.191 0.000  0.39
Mg: 0.331 0.669 0.000  0.02
Mg: 0.153 0.325 0.500  -0.01
Mg: 0.826 0.650 0.000  -0.01

Symmetry: Amm2 (38)
DFT formation energy: 0.14 eV per atom
V: 148 Å³/cell
Total energy: -2.832 eV/atom

LaFe2SiN: optimized geometry, PBE.

Lattice parameters (Å, degrees): 3.873 5.697 6.792 90.00 90.00 109.87
Sites, in units of the cell vectors:
Si: 0.726 0.451 0.750
N: 0.000 0.000 0.000
Fe: 0.838 0.676 0.440
Fe: 0.838 0.676 0.060
N: 0.000 0.000 0.500
La: 0.555 0.109 0.250
Fe: 0.162 0.324 0.940
Fe: 0.162 0.324 0.560
La: 0.445 0.891 0.750
Si: 0.274 0.549 0.250

Symmetry: Cmcm (63)
V: 141 Å³/cell
Total energy: -7.819 eV/atom
Formation energy (no corrections): -0.6991 eV per atom

AcNd2H8: optimized geometry, PBE.

Lattice parameters (Å, degrees): 3.927 5.532 6.823 113.92 106.73 90.00
Sites, in units of the cell vectors:
H: 0.333 0.564 0.665
H: 0.844 0.844 0.687
Ac: 0.500 0.000 0.000
Nd: 0.170 0.670 0.341
H: 0.000 0.289 0.000
H: 0.667 0.899 0.335
H: 0.156 0.156 0.313
Nd: 0.830 0.330 0.659
H: 0.000 0.711 0.000
H: 0.667 0.436 0.335
H: 0.333 0.101 0.665

Symmetry: Immm (71)
V: 129 Å³/cell
Total energy: -4.248 eV/atom

AcNd12Er5: optimized geometry, PBE.

Lattice parameters (Å, degrees): 15.470 10.951 5.161 90.00 90.00 45.10
Sites, in units of the cell vectors:
Er: 0.829 0.342 0.500
Nd: 0.829 0.668 0.500
Er: 0.333 0.333 0.000
Nd: 0.498 0.332 0.500
Er: 0.667 0.667 0.000
Nd: 0.663 0.000 0.000
Nd: 0.998 0.338 0.000
Er: 0.171 0.658 0.500
Nd: 0.002 0.662 0.000
Nd: 0.171 0.332 0.500
Nd: 0.664 0.338 0.000
Nd: 0.336 0.662 0.000
Nd: 0.337 0.000 0.000
Nd: 0.170 0.000 0.500
Nd: 0.830 0.000 0.500
Nd: 0.502 0.668 0.500
Er: 0.500 0.000 0.500
Ac: 0.000 0.000 0.000

Symmetry: Cmmm (65)
DFT formation energy: 0.03 eV per atom
V: 619 Å³/cell
Total energy: -4.647 eV/atom

Q: Number 4 is which compound?
A: LaFe2SiN

Q: Which formula does entry 5 have?
A: AcNd2H8

Q: Which of these has the lowest total energy?
A: LaFe2SiN

Q: The highest total energy belongs to which entry?
A: Mg6FeNi